Entry 1:
VASP calculation (GGA-PBE) on a relaxed SrPmTl6 crystal.

Formation enthalpy at 0 K, eV per atom: -0.27
Spin magnetization, μB/f.u.: 0.00

The structure in CIF format:
```
data_SrPmTl6
_chemical_formula_sum 'Sr1 Pm1 Tl6'
_cell_length_a 4.8873
_cell_length_b 4.8873
_cell_length_c 9.8512
_cell_angle_alpha 90.00
_cell_angle_beta 90.00
_cell_angle_gamma 90.00
_space_group_name_H-M_alt 'P 1'
_space_group_IT_number 1
loop_
_space_group_symop_operation_xyz
'x,y,z'
loop_
_atom_site_label
_atom_site_fract_x
_atom_site_fract_y
_atom_site_fract_z
Sr1 0.0000 0.0000 0.0000
Pm1 0.0000 0.0000 0.5000
Tl1 0.0000 0.5000 0.2569
Tl2 0.0000 0.5000 0.7431
Tl3 0.5000 0.0000 0.2569
Tl4 0.5000 0.0000 0.7431
Tl5 0.5000 0.5000 0.0000
Tl6 0.5000 0.5000 0.5000
```


Entry 2:
VASP calculation (GGA-PBE) on a relaxed LiTm4Pb5 crystal.

Formation enthalpy at 0 K, eV per atom: -0.20
Spin magnetization, μB/f.u.: 0.00

The structure in CIF format:
```
data_LiTm4Pb5
_chemical_formula_sum 'Li1 Tm4 Pb5'
_cell_length_a 7.4252
_cell_length_b 7.4252
_cell_length_c 7.4252
_cell_angle_alpha 100.25
_cell_angle_beta 100.25
_cell_angle_gamma 130.09
_space_group_name_H-M_alt 'P 1'
_space_group_IT_number 1
loop_
_space_group_symop_operation_xyz
'x,y,z'
loop_
_atom_site_label
_atom_site_fract_x
_atom_site_fract_y
_atom_site_fract_z
Li1 0.0000 0.0000 0.0000
Tm1 0.0191 0.7801 0.3946
Tm2 0.3855 0.6245 0.6054
Tm3 0.6245 0.0191 0.2390
Tm4 0.7801 0.3855 0.7610
Pb1 0.0967 0.4594 0.1553
Pb2 0.3042 0.9414 0.8447
Pb3 0.4594 0.3042 0.3627
Pb4 0.5384 0.5384 0.0000
Pb5 0.9414 0.0967 0.6373
```


Entry 3:
VASP calculation (GGA-PBE) on a relaxed Pm8Co2Tc crystal.

Formation enthalpy at 0 K, eV per atom: 0.05
Spin magnetization, μB/f.u.: 0.00

The structure in CIF format:
```
data_Pm8Co2Tc
_chemical_formula_sum 'Pm8 Co2 Tc1'
_cell_length_a 7.6302
_cell_length_b 7.6302
_cell_length_c 6.0591
_cell_angle_alpha 100.57
_cell_angle_beta 100.57
_cell_angle_gamma 114.97
_space_group_name_H-M_alt 'P 1'
_space_group_IT_number 1
loop_
_space_group_symop_operation_xyz
'x,y,z'
loop_
_atom_site_label
_atom_site_fract_x
_atom_site_fract_y
_atom_site_fract_z
Pm1 0.0000 0.0000 0.0000
Pm2 0.0238 0.2801 0.5933
Pm3 0.1535 0.5764 0.1867
Pm4 0.2801 0.0238 0.5933
Pm5 0.4452 0.7029 0.7819
Pm6 0.5764 0.1535 0.1867
Pm7 0.7029 0.4452 0.7819
Pm8 0.7233 0.7233 0.3717
Co1 0.0624 0.6610 0.6856
Co2 0.6610 0.0624 0.6856
Tc1 0.3590 0.3590 0.1657
```


> Look up the formation enthalpy at 0 K of the third one.

0.05 eV per atom